Record 1
The following is a DFT calculation (GGA-PBE) of a relaxed NaSm2Br crystal. Values from VASP.

```
&SYSTEM
  ibrav = 0, nat = 4, ntyp = 3
/
ATOMIC_SPECIES
Sm 150.36 Sm.upf
Br 79.90 Br.upf
Na 22.99 Na.upf
CELL_PARAMETERS angstrom
3.563 0.000 0.000
1.781 3.085 0.000
1.781 1.028 11.941
ATOMIC_POSITIONS crystal
Sm 0.900 0.900 0.299
Sm 0.100 0.100 0.701
Br 0.500 0.500 0.500
Na 0.000 0.000 0.000
```

* density of states at the Fermi level: 5.16 states/eV/f.u.
* ΔE_f (raw): -0.303 eV/atom
* symmetry: R-3m (166)
* M_tot: 0.004 μB per formula unit
* ρ: 5.1 g/cm3



Record 2
The following is a DFT calculation (GGA-PBE) of a relaxed Na2Tl4Ga crystal. Values from VASP.

```
&SYSTEM
  ibrav = 0, nat = 14, ntyp = 3
/
ATOMIC_SPECIES
Tl 204.38 Tl.upf
Na 22.99 Na.upf
Ga 69.72 Ga.upf
CELL_PARAMETERS angstrom
-6.267 2.041 -0.749
0.279 -8.381 -1.893
1.497 1.437 8.186
ATOMIC_POSITIONS crystal
Tl 0.433 0.251 0.333
Tl 0.228 0.414 0.060
Tl 0.941 0.289 0.327
Tl 0.492 0.613 0.735
Tl 0.018 0.838 0.184
Tl 0.630 0.061 0.620
Tl 0.293 0.953 0.853
Tl 0.953 0.520 0.752
Na 0.767 0.698 0.473
Na 0.700 0.392 0.020
Na 0.164 0.166 0.622
Na 0.526 0.854 0.168
Ga 0.228 0.686 0.415
Ga 0.877 0.014 0.938
```

* density of states at the Fermi level: 3.03 states/eV/f.u.
* symmetry: P1 (1)
* M_tot: 0.000 μB per formula unit
* formation energy from the elements: -48 meV/atom
* ρ: 7.9 g/cm3



- The highest M_tot belongs to which entry?
  NaSm2Br



- Number 1 is which compound?
  NaSm2Br